DFT (PBE-GGA) results for a relaxed Ba6SnS2I3 crystal.

Cell and atoms, written as POSCAR:
```
Ba6SnS2I3
1.0
-2.698 -7.789 1.025
8.070 1.455 -1.326
-0.554 2.767 8.344
Ba I S Sn
6 3 2 1
direct
0.416 0.070 0.209 Ba
0.584 0.930 0.791 Ba
0.070 0.416 0.209 Ba
0.723 0.723 0.208 Ba
0.277 0.277 0.792 Ba
0.930 0.584 0.791 Ba
0.837 0.163 0.500 I
0.500 0.500 0.500 I
0.163 0.837 0.500 I
0.333 0.667 0.000 S
0.667 0.333 0.000 S
0.000 0.000 0.000 Sn
```

Calculated values
DOS(E_F): 3.76 states/eV/cell
ΔE_f (raw): -1530 meV/atom


DFT (PBE-GGA) results for a relaxed Tm3Cd5O12 crystal.

Cell and atoms, written as POSCAR:
```
Tm3Cd5O12
1.0
11.365 0.000 0.000
-3.788 10.715 0.000
-3.788 -5.358 9.280
O Cd Tm
48 20 12
direct
0.915 0.831 0.772 O
0.915 0.084 0.643 O
0.440 0.669 0.084 O
0.228 0.560 0.643 O
0.940 0.357 0.272 O
0.143 0.728 0.560 O
0.669 0.440 0.584 O
0.584 0.643 0.415 O
0.084 0.169 0.440 O
0.416 0.357 0.585 O
0.831 0.915 0.272 O
0.643 0.060 0.228 O
0.728 0.585 0.169 O
0.643 0.584 0.915 O
0.669 0.228 0.585 O
0.916 0.085 0.857 O
0.416 0.060 0.331 O
0.272 0.857 0.940 O
0.331 0.560 0.416 O
0.585 0.857 0.416 O
0.415 0.143 0.584 O
0.772 0.331 0.915 O
0.584 0.940 0.669 O
0.060 0.643 0.728 O
0.169 0.085 0.728 O
0.331 0.772 0.415 O
0.940 0.584 0.169 O
0.728 0.143 0.060 O
0.085 0.169 0.228 O
0.085 0.916 0.357 O
0.228 0.669 0.085 O
0.916 0.831 0.560 O
0.357 0.940 0.772 O
0.560 0.331 0.916 O
0.143 0.415 0.084 O
0.857 0.585 0.916 O
0.560 0.228 0.143 O
0.272 0.415 0.831 O
0.831 0.916 0.060 O
0.169 0.084 0.940 O
0.440 0.772 0.857 O
0.415 0.272 0.331 O
0.857 0.272 0.440 O
0.084 0.915 0.143 O
0.357 0.416 0.085 O
0.585 0.728 0.669 O
0.060 0.416 0.831 O
0.772 0.440 0.357 O
0.000 0.000 0.000 Cd
0.750 0.625 0.375 Cd
0.500 0.000 0.000 Cd
0.000 0.500 0.500 Cd
0.875 0.250 0.625 Cd
0.250 0.875 0.125 Cd
0.500 0.500 0.000 Cd
0.625 0.875 0.250 Cd
0.500 0.500 0.500 Cd
0.625 0.750 0.875 Cd
0.250 0.375 0.625 Cd
0.875 0.625 0.750 Cd
0.750 0.125 0.875 Cd
0.500 0.000 0.500 Cd
0.125 0.375 0.250 Cd
0.125 0.750 0.375 Cd
0.375 0.250 0.125 Cd
0.375 0.125 0.750 Cd
0.000 0.000 0.500 Cd
0.000 0.500 0.000 Cd
0.125 0.250 0.875 Tm
0.750 0.875 0.625 Tm
0.875 0.750 0.125 Tm
0.875 0.125 0.250 Tm
0.375 0.625 0.250 Tm
0.625 0.250 0.375 Tm
0.125 0.875 0.750 Tm
0.250 0.625 0.875 Tm
0.625 0.375 0.750 Tm
0.375 0.750 0.625 Tm
0.750 0.375 0.125 Tm
0.250 0.125 0.375 Tm
```

Calculated values
DOS(E_F): 63.87 states/eV/cell
ΔE_f (raw): -1591 meV/atom


DFT (PBE-GGA) results for a relaxed TbEr3In2 crystal.

Cell and atoms, written as POSCAR:
```
TbEr3In2
1.0
3.483 0.000 0.000
0.000 8.892 0.000
0.000 0.000 22.014
Tb Er In
4 12 8
direct
0.750 0.658 0.339 Tb
0.250 0.842 0.839 Tb
0.250 0.342 0.661 Tb
0.750 0.158 0.161 Tb
0.250 0.215 0.804 Er
0.750 0.539 0.076 Er
0.750 0.785 0.196 Er
0.750 0.609 0.564 Er
0.250 0.391 0.436 Er
0.750 0.285 0.304 Er
0.250 0.461 0.924 Er
0.250 0.891 0.064 Er
0.750 0.109 0.936 Er
0.250 0.715 0.696 Er
0.750 0.039 0.424 Er
0.250 0.961 0.576 Er
0.250 0.975 0.291 In
0.250 0.750 0.457 In
0.750 0.250 0.543 In
0.250 0.250 0.043 In
0.750 0.025 0.709 In
0.750 0.750 0.957 In
0.250 0.475 0.209 In
0.750 0.525 0.791 In
```

Calculated values
energy of formation: -1.6 eV per formula unit
DOS(E_F): 25.79 states/eV/cell


DFT (PBE-GGA) results for a relaxed Ca2TcW crystal.

Cell and atoms, written as POSCAR:
```
Ca2TcW
1.0
5.115 0.000 0.000
0.000 2.800 0.099
0.000 2.497 5.657
Ca Tc W
2 1 1
direct
0.000 0.500 0.497 Ca
0.000 0.000 0.003 Ca
0.500 0.250 0.250 Tc
0.500 0.750 0.750 W
```

Calculated values
energy of formation: 3.3 eV per formula unit
DOS(E_F): 3.08 states/eV/cell